DFT (meta-GGA SCAN) results for a crystal of Sr3WCl relaxed with PBEsol.

```
data_Sr3WCl
_space_group_name_H-M_alt 'P 1'
_space_group_IT_number 1
_space_group_name_Hall 'P 1'
_cell_length_a 5.717
_cell_length_b 5.717
_cell_length_c 5.717
_cell_angle_alpha 90.00
_cell_angle_beta 90.00
_cell_angle_gamma 90.00
loop_
_atom_site_label
_atom_site_type_symbol
_atom_site_fract_x
_atom_site_fract_y
_atom_site_fract_z
Cl1 Cl 0.500 0.500 0.500
W1 W 0.000 0.000 0.000
Sr1 Sr 0.500 0.000 0.000
Sr2 Sr 0.000 0.500 0.000
Sr3 Sr 0.000 0.000 0.500
```

Values from the calculation:
Calculated total energy ... -28.29 eV per atom
Formation energy (no corrections) ... 0.6103 eV/atom
Crystal system ... cubic

***

DFT (meta-GGA SCAN) results for a crystal of KP2H5O8 relaxed with PBEsol.

```
data_KP2H5O8
_space_group_name_H-M_alt 'P 1'
_space_group_IT_number 1
_space_group_name_Hall 'P 1'
_cell_length_a 7.875
_cell_length_b 9.451
_cell_length_c 10.848
_cell_angle_alpha 90.00
_cell_angle_beta 90.00
_cell_angle_gamma 114.64
loop_
_atom_site_label
_atom_site_type_symbol
_atom_site_fract_x
_atom_site_fract_y
_atom_site_fract_z
O1 O 0.089 0.775 0.806
O2 O 0.429 0.273 0.083
O3 O 0.783 0.383 0.068
O4 O 0.783 0.883 0.432
O5 O 0.254 0.888 0.000
O6 O 0.939 0.663 0.012
O7 O 0.544 0.361 0.782
O8 O 0.429 0.773 0.417
O9 O 0.858 0.879 0.796
O10 O 0.089 0.275 0.694
O11 O 0.061 0.337 0.988
O12 O 0.544 0.861 0.718
O13 O 0.394 0.873 0.205
O14 O 0.606 0.127 0.795
O15 O 0.394 0.373 0.295
O16 O 0.571 0.727 0.917
O17 O 0.456 0.139 0.282
O18 O 0.606 0.627 0.705
O19 O 0.061 0.837 0.512
O20 O 0.217 0.617 0.932
O21 O 0.939 0.163 0.488
O22 O 0.456 0.639 0.218
O23 O 0.571 0.227 0.583
O24 O 0.911 0.725 0.306
O25 O 0.858 0.379 0.704
O26 O 0.254 0.388 0.500
O27 O 0.142 0.121 0.204
O28 O 0.746 0.612 0.500
O29 O 0.911 0.225 0.194
O30 O 0.142 0.621 0.296
O31 O 0.217 0.117 0.568
O32 O 0.746 0.112 0.000
H1 H 0.875 0.043 0.467
H2 H 0.573 0.975 0.747
H3 H 0.690 0.623 0.586
H4 H 0.971 0.320 0.703
H5 H 0.573 0.320 0.076
H6 H 0.125 0.457 0.967
H7 H 0.427 0.025 0.253
H8 H 0.971 0.820 0.797
H9 H 0.029 0.180 0.203
H10 H 0.310 0.877 0.086
H11 H 0.427 0.525 0.247
H12 H 0.029 0.680 0.297
H13 H 0.690 0.123 0.914
H14 H 0.875 0.543 0.033
H15 H 0.125 0.957 0.533
H16 H 0.310 0.377 0.414
H17 H 0.573 0.820 0.424
H18 H 0.427 0.680 0.924
H19 H 0.427 0.180 0.576
H20 H 0.573 0.475 0.753
P1 P 0.125 0.731 0.936
P2 P 0.651 0.774 0.783
P3 P 0.875 0.269 0.064
P4 P 0.349 0.226 0.217
P5 P 0.875 0.769 0.436
P6 P 0.349 0.726 0.283
P7 P 0.651 0.274 0.717
P8 P 0.125 0.231 0.564
K1 K 0.214 0.145 0.879
K2 K 0.786 0.355 0.379
K3 K 0.214 0.645 0.621
K4 K 0.786 0.855 0.121
```

Values from the calculation:
Calculated total energy ... -7.85 eV per atom
Crystal system ... monoclinic